Material: MgFeF
Method: DFT, GGA+U
State: relaxed

CIF file:
```
data_MgFeF
_cell_length_a 3.008
_cell_length_b 3.008
_cell_length_c 7.209
_cell_angle_alpha 99.78
_cell_angle_beta 99.78
_cell_angle_gamma 60.57
_space_group_name_H-M_alt 'P 1'
_space_group_IT_number 1
loop_
_space_group_symop_operation_xyz
'x,y,z'
loop_
_atom_site_label
_atom_site_type_symbol
_atom_site_fract_x
_atom_site_fract_y
_atom_site_fract_z
Mg1 Mg 0.000 0.000 0.000
Fe1 Fe 0.567 0.567 0.665
F1 F 0.373 0.373 0.141
```

---

Material: FeMoO4
Method: DFT, GGA+U
State: relaxed

CIF file:
```
data_FeMoO4
_cell_length_a 7.100
_cell_length_b 7.100
_cell_length_c 7.212
_cell_angle_alpha 101.75
_cell_angle_beta 101.75
_cell_angle_gamma 84.36
_space_group_name_H-M_alt 'P 1'
_space_group_IT_number 1
loop_
_space_group_symop_operation_xyz
'x,y,z'
loop_
_atom_site_label
_atom_site_type_symbol
_atom_site_fract_x
_atom_site_fract_y
_atom_site_fract_z
Fe1 Fe 0.181 0.819 0.000
Fe2 Fe 0.204 0.204 0.358
Fe3 Fe 0.796 0.796 0.642
Fe4 Fe 0.819 0.181 0.000
Mo1 Mo 0.250 0.750 0.500
Mo2 Mo 0.269 0.269 0.902
Mo3 Mo 0.731 0.731 0.098
Mo4 Mo 0.750 0.250 0.500
O1 O 0.109 0.803 0.695
O2 O 0.140 0.140 0.038
O3 O 0.197 0.891 0.305
O4 O 0.198 0.198 0.647
O5 O 0.211 0.519 0.966
O6 O 0.218 0.506 0.393
O7 O 0.481 0.789 0.034
O8 O 0.494 0.782 0.607
O9 O 0.506 0.218 0.393
O10 O 0.519 0.211 0.966
O11 O 0.782 0.494 0.607
O12 O 0.789 0.481 0.034
O13 O 0.802 0.802 0.353
O14 O 0.803 0.109 0.695
O15 O 0.860 0.860 0.962
O16 O 0.891 0.197 0.305
```

---

no.,ΔE to the lowest computed polymorph (meV/atom)
1,221
2,0